Record 1
VASP calculation (GGA-PBE) on crystalline FeOsC3 at its relaxed geometry.

a = 3.684 Å, b = 3.684 Å, c = 3.684 Å
α = 90.00°, β = 90.00°, γ = 90.00°
Each line ends with the local moment (μB).
Element x y z (fractional)
C  0.000  0.500  0.000  -0.01
C  0.000  0.000  0.500  0.03
C  0.500  0.000  0.000  -0.01
Os  0.500  0.500  0.500  0.84
Fe  0.000  0.000  0.000  0.38

Values from the calculation:
Calculated formation energy   230.8 kJ per mole of atoms
ΔE to the lowest computed polymorph   0.288 eV/atom

Record 2
VASP calculation (GGA-PBE) on crystalline Zr2BiAs at its relaxed geometry.

a = 3.992 Å, b = 3.992 Å, c = 7.220 Å
α = 73.95°, β = 73.95°, γ = 60.00°
Element x y z (fractional)
As  0.000  0.000  0.000
Bi  0.500  0.500  0.500
Zr  0.266  0.266  0.203
Zr  0.734  0.734  0.797

Values from the calculation:
Calculated formation energy   -69.0 kJ per mole of atoms

Record 3
VASP calculation (GGA-PBE) on crystalline HfTi2Si at its relaxed geometry.

a = 7.493 Å, b = 7.493 Å, c = 5.921 Å
α = 50.75°, β = 50.75°, γ = 90.00°
Element x y z (fractional)
Si  0.500  0.500  0.000
Si  0.250  0.750  0.500
Hf  0.000  0.000  0.000
Hf  0.750  0.250  0.500
Ti  0.581  0.125  0.250
Ti  0.169  0.625  0.250
Ti  0.375  0.419  0.750
Ti  0.875  0.831  0.750

Values from the calculation:
ΔE_f (raw)   0.06 eV per atom

| no. | total magnetization (Bohr magnetons per cell) |
| --- | --- |
| 1 | 1.2 |
| 2 | 0.0 |
| 3 | 0.0 |